(1)
5
Lattice="-2.806 3.369 -4.513 -5.573 -2.387 1.683 -0.758 4.435 3.783" Properties=species:S:1:pos:R:3 comment="Ba2SrSnAs | Alexandria via LeMat-Bulk | PBE-GGA | optimized geometry" total_energy_ev_per_atom=-3.448 sg="P4mm (99)" e_form_ev_per_atom=-0.612 dos_at_fermi_per_ev_atom=1.255 rho_g_cm3=4.0 pbc="T T T"
Sr -5.952 -0.170 3.573
As -0.758 4.435 3.782
Ba -7.733 3.729 3.205
Ba -3.544 3.238 4.620
Sn -4.570 2.719 0.485

(2)
9
Lattice="5.069 0.000 0.000 -2.534 8.231 0.324 0.000 -2.550 6.601" Properties=species:S:1:pos:R:3 comment="Ba2TlSn2As4 | Alexandria via LeMat-Bulk | PBE-GGA | optimized geometry" total_energy_ev_per_atom=-4.172 sg="C2/m (12)" e_form_ev_per_atom=-0.526 dos_at_fermi_per_ev_atom=0.086 rho_g_cm3=6.0 pbc="T T T"
Ba 0.000 0.756 3.852
Tl 0.000 0.000 0.000
As 0.000 7.376 2.437
Sn 2.534 2.628 0.129
Ba 2.534 4.925 3.073
As 0.000 3.053 1.372
As 2.534 2.629 5.553
As 2.534 -1.695 4.488
Sn 0.000 3.053 6.796

(3)
5
Lattice="-5.108 1.767 -1.689 -1.990 -6.446 -0.725 -1.794 -0.051 5.371" Properties=species:S:1:pos:R:3 comment="BaTl2SnAs | Alexandria via LeMat-Bulk | PBE-GGA | optimized geometry" total_energy_ev_per_atom=-2.842 sg="P4/mmm (123)" e_form_ev_per_atom=0.220 dos_at_fermi_per_ev_atom=0.845 rho_g_cm3=5.6 pbc="T T T"
Tl -0.897 -0.025 2.686
Sn 0.000 0.000 0.000
As -4.446 -2.365 1.478
Ba -0.995 -3.223 -0.363
Tl -2.554 0.884 -0.845

(4)
3
Lattice="-1.207 -4.249 1.500 4.458 0.941 -1.000 1.181 2.281 7.413" Properties=species:S:1:pos:R:3 comment="BaSrAs | Alexandria via LeMat-Bulk | PBE-GGA | optimized geometry" total_energy_ev_per_atom=-3.619 sg="P3m1 (156)" e_form_ev_per_atom=-0.868 dos_at_fermi_per_ev_atom=0.571 rho_g_cm3=3.4 pbc="T T T"
Sr 1.615 -0.715 6.528
Ba 2.828 -0.289 1.456
As 1.170 2.259 7.342

(5)
10
Lattice="-1.606 -6.807 -4.734 -1.053 -4.616 6.994 -6.701 1.564 0.024" Properties=species:S:1:pos:R:3 comment="Ba2Sr2As | Alexandria via LeMat-Bulk | PBE-GGA | optimized geometry" total_energy_ev_per_atom=-2.626 sg="P4/mbm (127)" e_form_ev_per_atom=-0.255 dos_at_fermi_per_ev_atom=1.883 rho_g_cm3=3.6 pbc="T T T"
Sr -0.620 -2.679 1.508
Sr -1.254 -5.341 -1.984
Ba -5.040 -6.431 -1.601
Sr -1.405 -6.082 4.244
Sr -2.039 -8.743 0.752
Ba -5.298 -7.602 2.687
As -1.329 -5.711 1.130
Ba -4.061 -2.257 -0.403
As 0.000 0.000 0.000
Ba -4.319 -3.427 3.885

(6)
10
Lattice="0.001 -5.018 -0.730 -1.782 -1.109 7.625 -8.742 2.683 -0.842" Properties=species:S:1:pos:R:3 comment="BaSr5As4 | Alexandria via LeMat-Bulk | PBE-GGA | optimized geometry" total_energy_ev_per_atom=-3.945 sg="C2/m (12)" e_form_ev_per_atom=-1.052 dos_at_fermi_per_ev_atom=0.043 rho_g_cm3=4.1 pbc="T T T"
Sr -6.825 -2.914 2.413
As -9.496 -3.166 4.140
Sr -2.976 0.053 -0.368
As -5.840 -0.163 1.115
Sr -0.891 -3.064 3.448
As -1.027 -0.278 1.913
As -4.683 -3.281 4.938
Ba 0.000 -2.509 -0.365
Sr -7.547 -3.497 6.421
Sr -3.697 -0.530 3.640